P | Computed, not measured: a relaxed structure of MgB2H8 at the GGA-PBE level of DFT.

a b c (Å): 5.785 5.785 5.616
angles (deg): 90.00 90.00 90.00
Fractional coordinates of all 22 atoms:
Mg (0.000, 0.000, 0.000)
Mg (0.500, 0.500, 0.500)
B (0.236, 0.236, 0.740)
B (0.264, 0.736, 0.240)
B (0.736, 0.264, 0.240)
B (0.764, 0.764, 0.740)
H (0.047, 0.301, 0.813)
H (0.124, 0.876, 0.317)
H (0.199, 0.547, 0.313)
H (0.224, 0.224, 0.525)
H (0.276, 0.724, 0.025)
H (0.301, 0.047, 0.813)
H (0.376, 0.376, 0.817)
H (0.453, 0.801, 0.313)
H (0.547, 0.199, 0.313)
H (0.624, 0.624, 0.817)
H (0.699, 0.953, 0.813)
H (0.724, 0.276, 0.025)
H (0.776, 0.776, 0.525)
H (0.801, 0.453, 0.313)
H (0.876, 0.124, 0.317)
H (0.953, 0.699, 0.813)

The value obtained for the magnetic moment is 0.0 μB per formula unit. The space group is P4_2nm, No. 102.

Q | Computed, not measured: a relaxed structure of MgB2H8 at the GGA-PBE level of DFT.

a b c (Å): 5.580 5.580 5.893
angles (deg): 90.00 90.00 90.00
Fractional coordinates of all 22 atoms:
Mg (0.000, 0.000, 0.000)
Mg (0.500, 0.500, 0.500)
B (0.249, 0.251, 0.250)
B (0.251, 0.751, 0.750)
B (0.749, 0.249, 0.750)
B (0.751, 0.749, 0.250)
H (0.038, 0.781, 0.711)
H (0.140, 0.328, 0.085)
H (0.172, 0.360, 0.415)
H (0.219, 0.038, 0.289)
H (0.281, 0.538, 0.789)
H (0.328, 0.860, 0.915)
H (0.360, 0.828, 0.585)
H (0.462, 0.281, 0.211)
H (0.538, 0.719, 0.211)
H (0.640, 0.172, 0.585)
H (0.672, 0.140, 0.915)
H (0.719, 0.462, 0.789)
H (0.781, 0.962, 0.289)
H (0.828, 0.640, 0.415)
H (0.860, 0.672, 0.085)
H (0.962, 0.219, 0.711)

The value obtained for the magnetic moment is 0.0 μB per formula unit. The space group is P-4n2, No. 118.

R | Computed, not measured: a relaxed structure of MgB2H8 at the GGA-PBE level of DFT.

a b c (Å): 8.171 7.716 7.348
angles (deg): 65.65 59.35 55.00
Fractional coordinates of all 22 atoms:
Mg (0.000, 0.000, 0.000)
Mg (0.250, 0.250, 0.250)
B (0.075, 0.162, 0.145)
B (0.145, 0.617, 0.075)
B (0.162, 0.075, 0.617)
B (0.617, 0.145, 0.162)
H (0.000, 0.052, 0.704)
H (0.006, 0.264, 0.999)
H (0.052, 0.000, 0.243)
H (0.064, 0.564, 0.270)
H (0.103, 0.270, 0.564)
H (0.243, 0.704, 0.052)
H (0.264, 0.006, 0.730)
H (0.270, 0.103, 0.064)
H (0.276, 0.471, 0.971)
H (0.282, 0.971, 0.471)
H (0.471, 0.276, 0.282)
H (0.564, 0.064, 0.103)
H (0.704, 0.243, 0.000)
H (0.730, 0.999, 0.264)
H (0.971, 0.282, 0.276)
H (0.999, 0.730, 0.006)

The value obtained for the magnetic moment is 0.0 μB per formula unit. The space group is F222, No. 22.

S | Computed, not measured: a relaxed structure of MgB2H8 at the GGA-PBE level of DFT.

a b c (Å): 5.150 5.150 3.922
angles (deg): 98.57 98.57 79.48
Fractional coordinates of all 11 atoms:
Mg (0.000, 0.000, 0.000)
B (0.213, 0.213, 0.661)
B (0.787, 0.787, 0.339)
H (0.015, 0.700, 0.264)
H (0.210, 0.210, 0.348)
H (0.300, 0.985, 0.736)
H (0.362, 0.362, 0.806)
H (0.638, 0.638, 0.194)
H (0.700, 0.015, 0.264)
H (0.790, 0.790, 0.652)
H (0.985, 0.300, 0.736)

The value obtained for the magnetic moment is 0.0 μB per formula unit. The space group is C2/m, No. 12.

Verdict on stability: R comes out on top.

P | Computed, not measured: a relaxed structure of MgB2H6 at the GGA-PBE level of DFT.

a b c (Å): 4.671 4.671 6.711
angles (deg): 103.04 103.04 81.77
Fractional coordinates of all 18 atoms:
Mg (0.061, 0.939, 0.750)
Mg (0.939, 0.061, 0.250)
B (0.052, 0.388, 0.595)
B (0.388, 0.052, 0.095)
B (0.612, 0.948, 0.905)
B (0.948, 0.612, 0.405)
H (0.170, 0.706, 0.382)
H (0.179, 0.501, 0.769)
H (0.181, 0.236, 0.045)
H (0.236, 0.181, 0.545)
H (0.294, 0.830, 0.118)
H (0.499, 0.821, 0.731)
H (0.501, 0.179, 0.269)
H (0.706, 0.170, 0.882)
H (0.764, 0.819, 0.455)
H (0.819, 0.764, 0.955)
H (0.821, 0.499, 0.231)
H (0.830, 0.294, 0.618)

The value obtained for the magnetic moment is 0.0 μB per formula unit. The space group is C2/c, No. 15.

Q | Computed, not measured: a relaxed structure of MgB2H6 at the GGA-PBE level of DFT.

a b c (Å): 4.143 4.148 4.831
angles (deg): 88.70 69.57 60.40
Fractional coordinates of all 9 atoms:
Mg (0.000, 0.000, 0.000)
B (0.193, 0.355, 0.334)
B (0.807, 0.645, 0.666)
H (0.198, 0.484, 0.101)
H (0.210, 0.053, 0.290)
H (0.484, 0.738, 0.645)
H (0.516, 0.262, 0.355)
H (0.790, 0.947, 0.710)
H (0.802, 0.516, 0.899)

The value obtained for the magnetic moment is 0.0 μB per formula unit. The space group is P-1, No. 2.

Verdict on stability: P comes out on top.